# CaSbSe2

A geometry-optimized CaSbSe2 structure (PBE, Alexandria).

Unit cell a=4.1878 b=4.1878 c=25.6721 alpha=90.00 beta=90.00 gamma=120.00
Last column: nearest neighbours and their distance in Å.
Space group R-3m (No. 166, hexagonal axes)
Unique sites:
Ca (0.0000, 0.0000, 0.0000) x3  6 Se 2.91
Sb (0.0000, 0.0000, 0.5000) x3  2 Se 2.65
Se (0.0000, 0.0000, 0.3967) x6  1 Sb 2.65, 3 Ca 2.91

Magnetic moment: 0.00 μB/f.u.



# Ca2SbSe

A geometry-optimized Ca2SbSe structure (PBE, Alexandria).

Unit cell a=7.7834 b=7.7834 c=3.5653 alpha=90.00 beta=90.13 gamma=90.00
Last column: nearest neighbours and their distance in Å.
Space group C2/m (No. 12)
Unique sites:
Ca (0.2500, 0.2500, 0.0000) x4  4 Se 3.28, 4 Sb 3.28, 2 Ca 3.57
Sb (0.0000, 0.0000, 0.5000) x2  8 Ca 3.28, 2 Sb 3.57
Se (0.0000, 0.5000, 0.5000) x2  8 Ca 3.28, 2 Se 3.57

Offset from the most stable computed form: 218 meV/atom
Magnetic moment: 0.00 μB/f.u.



no.,ΔE_f (raw) (meV/atom)
1,-687
2,-1161